Here is crystalline GaOs3C at its relaxed geometry from the Alexandria database. Energies are from PBE-GGA.

Cell: 4.513 4.513 4.513 Å, 90.00 90.00 90.00°
Space group Pm-3m (No. 221)
Asymmetric unit:
Ga: 0.000 0.000 0.000 (multiplicity 1)
Os: 0.000 0.000 0.500 (multiplicity 3)
C: 0.500 0.500 0.500 (multiplicity 1)

DOS at the Fermi energy in states/eV per cell: 5.4
Formation energy in eV per atom: 3.36
Relative energy among the computed polymorphs in eV/atom: 2.8555

---

Here is crystalline CsNF6 at its relaxed geometry from the Alexandria database. Energies are from PBE-GGA.

Cell: 5.6753 5.6753 14.1936 Å, 90.00 90.00 120.00°
Space group R-3m (No. 166, hexagonal axes)
Asymmetric unit:
Cs: 0.0000 0.0000 0.0000 (multiplicity 3)
N: 0.0000 0.0000 0.5000 (multiplicity 3)
F: 0.0690 0.5345 0.1023 (multiplicity 18)

Energy relative to the elements, uncorrected in eV per atom: -0.76
DOS at the Fermi energy in states/eV per cell: 0.0
Relative energy among the computed polymorphs in eV/atom: 0.0000

---

The records above give, respectively, spin magnetization values of 1.4; 0.0 μB per formula unit.